A relaxed structure of Ba2ZnHg5. Source: Alexandria via LeMat-Bulk, functional PBE.

Properties
E_form: -34.9 kJ per mole of atoms

abc: 5.167 9.484 10.360
angles: 90.00 90.00 105.81
Positions (direct):
Ba 0.788 0.577 0.750
Hg 0.417 0.835 0.250
Hg 0.185 0.370 0.604
Ba 0.000 0.000 0.000
Hg 0.357 0.713 0.970
Zn 0.436 0.872 0.750
Ba 0.000 0.000 0.500
Ba 0.212 0.423 0.250
Hg 0.815 0.630 0.104
Hg 0.643 0.287 0.470
Hg 0.583 0.165 0.750
Hg 0.185 0.370 0.896
Hg 0.643 0.287 0.030
Hg 0.357 0.713 0.530
Zn 0.564 0.128 0.250
Hg 0.815 0.630 0.396

***

A relaxed structure of SrIn12Hg7. Source: Alexandria via LeMat-Bulk, functional PBE.

Properties
E_form: -4.1 kJ per mole of atoms

abc: 9.051 9.051 9.051
angles: 109.95 109.95 109.95
Positions (direct):
In 0.191 0.693 0.913
Hg 0.445 0.099 0.190
Hg 0.901 0.810 0.555
In 0.307 0.087 0.809
In 0.176 0.583 0.490
Hg 0.190 0.445 0.099
In 0.417 0.510 0.824
Hg 0.500 0.500 0.500
Sr 0.000 0.000 0.000
In 0.809 0.307 0.087
In 0.490 0.176 0.583
In 0.510 0.824 0.417
In 0.913 0.191 0.693
In 0.087 0.809 0.307
Hg 0.099 0.190 0.445
Hg 0.555 0.901 0.810
In 0.824 0.417 0.510
In 0.693 0.913 0.191
Hg 0.810 0.555 0.901
In 0.583 0.490 0.176

***

A relaxed structure of NiSb4Ir. Source: Alexandria via LeMat-Bulk, functional PBE.

Properties
formation energy without anion corrections: 1.185 eV per atom
energy above the lowest structure with this stoichiometry: 1392 meV/atom

abc: 5.932 5.932 5.932
angles: 60.00 60.00 60.00
Positions (direct):
Sb 0.375 0.875 0.375
Sb 0.875 0.375 0.375
Sb 0.375 0.375 0.375
Ni 0.000 0.000 0.000
Sb 0.375 0.375 0.875
Ir 0.750 0.750 0.750

***

A relaxed structure of Hf2P2W. Source: Alexandria via LeMat-Bulk, functional PBE.

Properties
E_form: -81.0 kJ per mole of atoms

abc: 6.678 6.678 3.611
angles: 90.00 90.00 90.00
Positions (direct):
Hf 0.660 0.840 0.500
W 0.500 0.500 0.000
P 0.145 0.355 0.000
P 0.855 0.645 0.000
Hf 0.340 0.160 0.500
P 0.645 0.145 0.000
Hf 0.160 0.660 0.500
W 0.000 0.000 0.000
Hf 0.840 0.340 0.500
P 0.355 0.855 0.000

***

A relaxed structure of Y4CuS3. Source: Alexandria via LeMat-Bulk, functional PBE.

Properties
formation energy without anion corrections: -1.542 eV per atom

abc: 3.888 6.888 6.888
angles: 108.92 90.00 90.00
Positions (direct):
Cu 0.500 0.000 0.000
S 0.500 0.500 0.500
S 0.000 0.500 0.000
S 0.000 0.000 0.500
Y 0.000 0.750 0.750
Y 0.000 0.250 0.250
Y 0.500 0.749 0.251
Y 0.500 0.251 0.749

***

A relaxed structure of ErTiCu2. Source: Alexandria via LeMat-Bulk, functional PBE.

Properties
energy above the lowest structure with this stoichiometry: 50 meV/atom
E_form: -6.0 kJ per mole of atoms

abc: 3.293 4.601 4.601
angles: 90.00 90.00 90.00
Each line ends with the local moment (μB).
Positions (direct):
Cu 0.000 0.000 0.500  0.04
Ti 0.500 0.000 0.000  0.88
Cu 0.000 0.500 0.000  0.04
Er 0.500 0.500 0.500  0.07

***

A relaxed structure of Tm2NbIn. Source: Alexandria via LeMat-Bulk, functional PBE.

Properties
E_form: 37.3 kJ per mole of atoms

abc: 3.220 3.220 11.417
angles: 81.89 81.89 60.00
Each line ends with the local moment (μB).
Positions (direct):
Tm 0.087 0.087 0.739  0.12
Tm 0.913 0.913 0.261  0.12
In 0.500 0.500 0.500  0.00
Nb 0.000 0.000 0.000  0.60

***

A relaxed structure of PrMg4In2. Source: Alexandria via LeMat-Bulk, functional PBE.

Properties
E_form: -20.5 kJ per mole of atoms

abc: 4.691 8.682 8.682
angles: 90.00 90.00 90.00
Positions (direct):
Mg 0.000 0.902 0.655
Mg 0.500 0.598 0.155
Mg 0.000 0.345 0.098
Pr 0.500 0.000 0.000
In 0.000 0.205 0.795
In 0.500 0.295 0.295
Mg 0.500 0.845 0.402
Mg 0.500 0.155 0.598
Mg 0.000 0.098 0.345
Mg 0.500 0.402 0.845
Pr 0.000 0.500 0.500
In 0.500 0.705 0.705
Mg 0.000 0.655 0.902
In 0.000 0.795 0.205

***

A relaxed structure of DyTlPbCl6. Source: Alexandria via LeMat-Bulk, functional PBE.

Properties
formation energy without anion corrections: -1.656 eV per atom

abc: 7.343 7.343 13.499
angles: 90.00 90.00 120.00
Positions (direct):
Cl 0.973 0.620 0.363
Cl 0.380 0.353 0.363
Cl 0.353 0.973 0.637
Tl 0.000 0.000 0.000
Cl 0.620 0.973 0.863
Tl 0.000 0.000 0.500
Pb 0.667 0.333 0.750
Dy 0.667 0.333 0.250
Pb 0.333 0.667 0.250
Cl 0.380 0.027 0.137
Cl 0.620 0.647 0.637
Cl 0.027 0.647 0.863
Cl 0.353 0.380 0.863
Cl 0.647 0.027 0.363
Cl 0.973 0.353 0.137
Cl 0.647 0.620 0.137
Cl 0.027 0.380 0.637
Dy 0.333 0.667 0.750

***

A relaxed structure of RbAgB3. Source: Alexandria via LeMat-Bulk, functional PBE.

Properties
energy above the lowest structure with this stoichiometry: 1421 meV/atom
E_form: 327.8 kJ per mole of atoms

abc: 4.982 4.982 4.982
angles: 90.00 90.00 90.00
Each line ends with the local moment (μB).
Positions (direct):
Ag 0.500 0.500 0.500  0.00
B 0.500 0.000 0.000  0.25
B 0.000 0.500 0.000  0.08
B 0.000 0.000 0.500  0.04
Rb 0.000 0.000 0.000  0.09

***

A relaxed structure of MnBiC3. Source: Alexandria via LeMat-Bulk, functional PBE.

Properties
energy above the lowest structure with this stoichiometry: 0 meV/atom
E_form: 174.0 kJ per mole of atoms

abc: 3.925 3.925 3.925
angles: 90.00 90.00 90.00
Each line ends with the local moment (μB).
Positions (direct):
Mn 0.000 0.000 0.000  -1.00
C 0.000 0.500 0.000  0.10
C 0.500 0.000 0.000  0.13
Bi 0.500 0.500 0.500  -0.08
C 0.000 0.000 0.500  0.11

***

A relaxed structure of Rb2BaPt2. Source: Alexandria via LeMat-Bulk, functional PBE.

Properties
E_form: -2.0 kJ per mole of atoms

abc: 8.614 8.614 4.879
angles: 90.00 90.00 90.00
Positions (direct):
Pt 0.173 0.327 0.000
Pt 0.327 0.827 0.000
Rb 0.635 0.865 0.500
Pt 0.673 0.173 0.000
Rb 0.365 0.135 0.500
Ba 0.000 0.000 0.000
Ba 0.500 0.500 0.000
Rb 0.135 0.635 0.500
Rb 0.865 0.365 0.500
Pt 0.827 0.673 0.000

***

A relaxed structure of La2Pr6Ho3Er. Source: Alexandria via LeMat-Bulk, functional PBE.

Properties
E_form: 1.7 kJ per mole of atoms

abc: 6.349 6.349 12.051
angles: 95.04 95.04 120.03
Positions (direct):
Pr 0.584 0.915 0.746
La 0.667 0.333 0.000
Pr 0.753 0.753 0.255
Pr 0.416 0.085 0.254
Ho 0.500 0.500 0.500
Pr 0.247 0.247 0.745
Er 0.000 0.000 0.000
Pr 0.915 0.584 0.746
Ho 0.834 0.166 0.500
Ho 0.166 0.834 0.500
Pr 0.085 0.416 0.254
La 0.333 0.667 0.000

***

A relaxed structure of Ac3Tl2Au7. Source: Alexandria via LeMat-Bulk, functional PBE.

Properties
E_form: -51.9 kJ per mole of atoms

abc: 4.657 5.451 12.654
angles: 87.94 90.00 90.00
Positions (direct):
Au 0.000 0.000 0.000
Ac 0.000 0.951 0.673
Au 0.000 0.377 0.835
Ac 0.500 0.500 0.000
Ac 0.000 0.049 0.327
Au 0.500 0.003 0.149
Tl 0.500 0.489 0.708
Au 0.500 0.997 0.851
Au 0.500 0.248 0.503
Au 0.000 0.623 0.165
Tl 0.500 0.511 0.292
Au 0.500 0.752 0.497

***

A relaxed structure of NbCrRu3. Source: Alexandria via LeMat-Bulk, functional PBE.

Properties
energy above the lowest structure with this stoichiometry: 0 meV/atom
E_form: 96.2 kJ per mole of atoms

abc: 4.383 4.383 4.383
angles: 90.00 90.00 90.00
Positions (direct):
Nb 0.500 0.500 0.500
Ru 0.000 0.500 0.000
Ru 0.500 0.000 0.000
Ru 0.000 0.000 0.500
Cr 0.000 0.000 0.000

***

A relaxed structure of Ac2CdNiHg. Source: Alexandria via LeMat-Bulk, functional PBE.

Properties
E_form: -35.8 kJ per mole of atoms

abc: 4.299 8.629 8.492
angles: 114.58 90.00 90.00
Positions (direct):
Cd 0.750 0.433 0.348
Ni 0.750 0.087 0.078
Hg 0.250 0.689 0.320
Ac 0.250 0.108 0.341
Hg 0.750 0.311 0.680
Ni 0.250 0.913 0.922
Ac 0.250 0.287 0.987
Cd 0.250 0.567 0.652
Ac 0.750 0.713 0.013
Ac 0.750 0.892 0.659

***

A relaxed structure of Ca2ReBr. Source: Alexandria via LeMat-Bulk, functional PBE.

Properties
formation energy without anion corrections: 0.487 eV per atom
energy above the lowest structure with this stoichiometry: 573 meV/atom

abc: 3.376 3.376 9.829
angles: 90.00 90.00 89.99
Each line ends with the local moment (μB).
Positions (direct):
Ca 0.000 0.000 0.947  0.00
Ca 0.500 0.500 0.292  -0.04
Re 0.000 0.000 0.487  2.11
Br 0.500 0.500 0.774  0.02

***

A relaxed structure of NaPdCl. Source: Alexandria via LeMat-Bulk, functional PBE.

Properties
formation energy without anion corrections: -0.519 eV per atom
energy above the lowest structure with this stoichiometry: 259 meV/atom

abc: 4.332 4.332 3.736
angles: 90.00 90.00 120.00
Positions (direct):
Cl 0.000 0.000 0.000
Na 0.667 0.333 0.500
Pd 0.333 0.667 0.000

***

A relaxed structure of LiMgTa2S. Source: Alexandria via LeMat-Bulk, functional PBE.

Properties
formation energy without anion corrections: 1.034 eV per atom

abc: 4.601 3.996 4.601
angles: 90.00 90.00 90.00
Positions (direct):
Ta 0.000 0.000 0.500
Mg 0.500 0.500 0.500
S 0.000 0.500 0.000
Li 0.000 0.000 0.000
Ta 0.500 0.000 0.000

***

A relaxed structure of La2YZn9. Source: Alexandria via LeMat-Bulk, functional PBE.

Properties
E_form: -27.8 kJ per mole of atoms

abc: 5.516 5.516 9.400
angles: 72.94 72.94 60.00
Positions (direct):
Zn 0.581 0.581 0.763
Zn 0.335 0.335 0.996
Zn 0.665 0.665 0.004
Zn 0.924 0.419 0.237
Zn 0.419 0.419 0.237
Y 0.000 0.000 0.000
Zn 0.076 0.581 0.763
Zn 0.581 0.076 0.763
La 0.143 0.143 0.572
Zn 0.419 0.924 0.237
Zn 0.500 0.500 0.500
La 0.857 0.857 0.428

***

| no. | magnetization (Bohr magnetons per cell) | Fermi-level density of states (states/eV/cell) |
| --- | --- | --- |
| 1 | 0.0 | 11.2 |
| 2 | 0.0 | 9.8 |
| 3 | 0.0 | 6.3 |
| 4 | 0.0 | 3.8 |
| 5 | 0.0 | 5.5 |
| 6 | 1.2 | 4.2 |
| 7 | 0.9 | 4.7 |
| 8 | 0.0 | 10.4 |
| 9 | 0.0 | 0.0 |
| 10 | 0.9 | 4.6 |
| 11 | 0.6 | 1.9 |
| 12 | 0.0 | 0.0 |
| 13 | 0.0 | 16.1 |
| 14 | 0.0 | 7.5 |
| 15 | 0.0 | 8.6 |
| 16 | 0.0 | 9.0 |
| 17 | 2.4 | 3.4 |
| 18 | 0.0 | 0.5 |
| 19 | 0.0 | 4.6 |
| 20 | 0.0 | 6.3 |